Record 1
# MnH2NO | Alexandria via LeMat-Bulk | PBE+U | relaxed
data_MnH2NO
_chemical_formula_sum 'Mn1 H2 N1 O1'
_space_group_name_H-M_alt 'P 1 m 1'
_space_group_IT_number 6
_cell_length_a 3.385
_cell_length_b 4.133
_cell_length_c 3.555
_cell_angle_alpha 90.00
_cell_angle_beta 117.62
_cell_angle_gamma 90.00
loop_
_space_group_symop_operation_xyz
'x,y,z'
'x,-y,z'
loop_
_atom_site_label
_atom_site_fract_x
_atom_site_fract_y
_atom_site_fract_z
_atom_site_occupancy
Mn1 0.000 0.000 0.000 1
H1 0.616 0.500 0.686 1
H2 0.754 0.500 0.186 1
N1 0.891 0.500 0.981 1
O1 0.635 0.000 0.383 1
# Total DFT energy (no corrections) in eV/atom: -6.0881

***

Record 2
# MnH2NO | Alexandria via LeMat-Bulk | PBE+U | relaxed
data_MnH2NO
_chemical_formula_sum 'Mn1 H2 N1 O1'
_space_group_name_H-M_alt 'P m m 2'
_space_group_IT_number 25
_cell_length_a 3.557
_cell_length_b 3.749
_cell_length_c 3.785
_cell_angle_alpha 90.00
_cell_angle_beta 90.00
_cell_angle_gamma 90.00
loop_
_space_group_symop_operation_xyz
'x,y,z'
'-x,-y,z'
'-x,y,z'
'x,-y,z'
loop_
_atom_site_label
_atom_site_fract_x
_atom_site_fract_y
_atom_site_fract_z
_atom_site_occupancy
Mn1 0.000 0.000 0.000 1
H1 0.229 0.500 0.600 1
N1 0.000 0.500 0.765 1
O1 0.500 0.000 0.141 1
# Total DFT energy (no corrections) in eV/atom: -6.0677

***

Record 3
# MnH2NO | Alexandria via LeMat-Bulk | PBE+U | relaxed
data_MnH2NO
_chemical_formula_sum 'Mn2 H4 N2 O2'
_space_group_name_H-M_alt 'A m m 2'
_space_group_IT_number 38
_cell_length_a 4.146
_cell_length_b 3.755
_cell_length_c 5.382
_cell_angle_alpha 90.00
_cell_angle_beta 90.00
_cell_angle_gamma 90.00
loop_
_space_group_symop_operation_xyz
'x,y,z'
'-x,-y,z'
'-x,y,z'
'x,-y,z'
'x,y+1/2,z+1/2'
'-x,-y+1/2,z+1/2'
'-x,y+1/2,z+1/2'
'x,-y+1/2,z+1/2'
loop_
_atom_site_label
_atom_site_fract_x
_atom_site_fract_y
_atom_site_fract_z
_atom_site_occupancy
Mn1 0.000 0.000 0.000 1
H1 0.500 0.218 0.810 1
N1 0.500 0.000 0.925 1
O1 0.000 0.000 0.397 1
# Total DFT energy (no corrections) in eV/atom: -6.1017

***

Q: What is the formula in the first record?
A: MnH2NO

***

Q: Look up the total DFT energy (no corrections) of the third one.
A: -6.1017 eV/atom